A relaxed structure of CaNiPd2, computed with PBEsol.

Lattice parameters (Å, degrees): 4.4680 4.4680 4.4680 60.00 60.00 60.00
With the nearest neighbours (Å) after each atom.
Fractional coordinates of all 4 atoms:
Ca: 0.0000 0.0000 0.0000  8 Pd 2.74
Pd: 0.7500 0.7500 0.7500  4 Ni 2.74, 4 Ca 2.74
Pd: 0.2500 0.2500 0.2500  4 Ca 2.74, 4 Ni 2.74
Ni: 0.5000 0.5000 0.5000  8 Pd 2.74

Summary:
N(E_F) ... 1.8 states/eV/cell
Energy relative to the elements ... -178 meV per atom
Total magnetization ... 0.000 μB/f.u.
Calculated total energy ... -5.23 eV per atom

A relaxed structure of SrCa2NiPd, computed with PBEsol.

Lattice parameters (Å, degrees): 4.8684 6.0534 6.0534 90.00 90.00 90.00
With the nearest neighbours (Å) after each atom.
Fractional coordinates of all 5 atoms:
Sr: 0.0000 0.0000 0.0000  2 Pd 2.43
Ni: 0.5000 0.5000 0.5000  8 Ca 3.88, 4 Pd 4.28
Ca: 0.0000 0.5000 0.0000  2 Sr 3.03
Ca: 0.0000 0.0000 0.5000  2 Sr 3.03
Pd: 0.5000 0.0000 0.0000  2 Sr 2.43

Summary:
N(E_F) ... 7.4 states/eV/cell
Energy relative to the elements ... 1353 meV per atom
Total magnetization ... 0.126 μB/f.u.
Calculated total energy ... -2.29 eV per atom

A relaxed structure of CaNiPt, computed with PBEsol.

Lattice parameters (Å, degrees): 2.8926 3.8210 5.3297 111.01 105.75 90.00
With the nearest neighbours (Å) after each atom.
Fractional coordinates of all 3 atoms:
Ni: 0.2874 0.2874 0.5748  4 Pt 2.51, 1 Ca 2.70
Ca: 0.0037 0.0037 0.0075  1 Ni 2.70, 1 Pt 2.81, 2 Ca 2.89
Pt: 0.7089 0.7089 0.4177  4 Ni 2.51, 1 Ca 2.81

Summary:
N(E_F) ... 3.1 states/eV/cell
Energy relative to the elements ... -246 meV per atom
Total magnetization ... 0.003 μB/f.u.
Calculated total energy ... -5.33 eV per atom

A relaxed structure of CaNi2Pt, computed with PBEsol.

Lattice parameters (Å, degrees): 4.1679 4.1676 5.2541 113.48 90.00 120.00
With the nearest neighbours (Å) after each atom.
Fractional coordinates of all 4 atoms:
Pt: 0.5000 0.0000 0.0000  6 Ni 2.43
Ca: 0.0000 0.0000 0.5000  2 Ni 2.65
Ni: 0.8108 0.6215 0.9326  3 Pt 2.43, 3 Ni 2.49, 1 Ca 2.65
Ni: 0.1892 0.3785 0.0674  3 Pt 2.43, 3 Ni 2.49, 1 Ca 2.65

Summary:
N(E_F) ... 2.2 states/eV/cell
Energy relative to the elements ... -302 meV per atom
Total magnetization ... 0.000 μB/f.u.
Calculated total energy ... -5.65 eV per atom

A relaxed structure of CaNiPt, computed with PBEsol.

Lattice parameters (Å, degrees): 3.9717 4.0773 4.0773 120.00 90.00 90.00
With the nearest neighbours (Å) after each atom.
Fractional coordinates of all 3 atoms:
Ni: 0.5000 0.6667 0.3333  3 Pt 2.35
Pt: 0.5000 0.3333 0.6667  3 Ni 2.35
Ca: 0.0000 0.0000 0.0000  6 Ni 3.08, 6 Pt 3.08

Summary:
N(E_F) ... 3.4 states/eV/cell
Energy relative to the elements ... -435 meV per atom
Total magnetization ... 0.016 μB/f.u.
Calculated total energy ... -5.52 eV per atom

A relaxed structure of CaNiPt, computed with PBEsol.

Lattice parameters (Å, degrees): 2.9497 2.9497 6.5383 90.00 90.00 120.00
With the nearest neighbours (Å) after each atom.
Fractional coordinates of all 3 atoms:
Ni: 0.3333 0.6667 0.6569  3 Pt 2.63, 3 Ca 2.78
Ca: 0.0000 0.0000 0.9934  3 Ni 2.78, 3 Pt 2.89, 6 Ca 2.95
Pt: 0.6667 0.3333 0.3498  3 Ni 2.63, 3 Ca 2.89

Summary:
N(E_F) ... 2.8 states/eV/cell
Energy relative to the elements ... 218 meV per atom
Total magnetization ... 0.000 μB/f.u.
Calculated total energy ... -4.87 eV per atom

A relaxed structure of CaSiNi2Pt, computed with PBEsol.

Lattice parameters (Å, degrees): 4.2923 4.2923 4.5575 90.00 90.00 90.00
With the nearest neighbours (Å) after each atom.
Fractional coordinates of all 5 atoms:
Pt: 0.0000 0.0000 0.5000  2 Si 2.28
Ni: 0.0000 0.5000 0.0000  2 Si 2.15
Ni: 0.5000 0.0000 0.0000  2 Si 2.15
Si: 0.0000 0.0000 0.0000  4 Ni 2.15, 2 Pt 2.28
Ca: 0.5000 0.5000 0.5000  4 Pt 3.04, 8 Ni 3.13

Summary:
N(E_F) ... 3.8 states/eV/cell
Uncorrected formation energy ... -0.25 eV/atom
Total magnetization ... 0.000 μB/f.u.
Calculated total energy ... -5.68 eV per atom

A relaxed structure of RbCaSi2Ni, computed with PBEsol.

Lattice parameters (Å, degrees): 4.5919 5.4496 5.4496 90.00 90.00 90.00
With the nearest neighbours (Å) after each atom.
Fractional coordinates of all 5 atoms:
Ni: 0.5000 0.0000 0.0000  2 Rb 2.30
Si: 0.0000 0.0000 0.5000  2 Rb 2.72
Si: 0.0000 0.5000 0.0000  2 Rb 2.72
Rb: 0.0000 0.0000 0.0000  2 Ni 2.30
Ca: 0.5000 0.5000 0.5000  8 Si 3.56, 4 Ni 3.85

Summary:
N(E_F) ... 4.0 states/eV/cell
Uncorrected formation energy ... 1.57 eV/atom
Total magnetization ... 0.001 μB/f.u.
Calculated total energy ... -2.59 eV per atom

A relaxed structure of RbCaYNi2, computed with PBEsol.

Lattice parameters (Å, degrees): 4.9747 4.9747 5.9266 90.00 90.00 90.00
With the nearest neighbours (Å) after each atom.
Fractional coordinates of all 5 atoms:
Y: 0.0000 0.0000 0.0000  4 Ni 2.49
Ni: 0.5000 0.0000 0.0000  2 Y 2.49
Ni: 0.0000 0.5000 0.0000  2 Y 2.49
Rb: 0.5000 0.5000 0.5000  4 Ca 3.52, 8 Ni 3.87
Ca: 0.0000 0.0000 0.5000  2 Y 2.96

Summary:
N(E_F) ... 6.2 states/eV/cell
Energy relative to the elements ... 968 meV per atom
Total magnetization ... 0.001 μB/f.u.
Calculated total energy ... -3.49 eV per atom

A relaxed structure of Ca2ReNi, computed with PBEsol.

Lattice parameters (Å, degrees): 4.8420 4.8420 4.8420 60.00 60.00 60.00
With the nearest neighbours (Å) after each atom.
Fractional coordinates of all 4 atoms:
Ca: 0.7500 0.7500 0.7500  4 Re 2.97, 4 Ni 2.97
Ca: 0.2500 0.2500 0.2500  4 Re 2.97, 4 Ni 2.97
Ni: 0.0000 0.0000 0.0000  8 Ca 2.97
Re: 0.5000 0.5000 0.5000  8 Ca 2.97

Summary:
N(E_F) ... 8.1 states/eV/cell
Energy relative to the elements ... 939 meV per atom
Total magnetization ... 2.245 μB/f.u.
Calculated total energy ... -5.00 eV per atom
Relative energy among the computed polymorphs ... 0.529 eV per atom

A relaxed structure of Ca2ReNi, computed with PBEsol.

Lattice parameters (Å, degrees): 4.0953 4.3977 4.0979 90.00 90.00 90.00
With the nearest neighbours (Å) after each atom.
Fractional coordinates of all 4 atoms:
Re: 0.0000 0.5000 0.5000  4 Ni 2.90, 8 Ca 3.00-3.01
Ca: 0.0000 0.0000 0.0000  4 Ca 2.90, 4 Ni 3.00, 4 Re 3.01
Ca: 0.5000 0.0000 0.5000  4 Ca 2.90, 4 Re 3.00, 4 Ni 3.01
Ni: 0.5000 0.5000 0.0000  4 Re 2.90, 8 Ca 3.00-3.01

Summary:
N(E_F) ... 5.4 states/eV/cell
Energy relative to the elements ... 843 meV per atom
Total magnetization ... 0.546 μB/f.u.
Calculated total energy ... -5.10 eV per atom
Relative energy among the computed polymorphs ... 0.434 eV per atom

A relaxed structure of Ca2ReNi, computed with PBEsol.

Lattice parameters (Å, degrees): 2.7654 5.3302 5.3302 107.00 90.00 90.00
With the nearest neighbours (Å) after each atom.
Fractional coordinates of all 4 atoms:
Ni: 0.5000 0.0000 0.0000  2 Ni 2.77, 8 Ca 3.00
Re: 0.5000 0.5000 0.5000  2 Re 2.77, 8 Ca 3.00
Ca: 0.0000 0.0000 0.5000  2 Ca 2.77, 4 Ni 3.00, 4 Re 3.00
Ca: 0.0000 0.5000 0.0000  2 Ca 2.77, 4 Re 3.00, 4 Ni 3.00

Summary:
N(E_F) ... 3.3 states/eV/cell
Energy relative to the elements ... 708 meV per atom
Total magnetization ... 0.000 μB/f.u.
Calculated total energy ... -5.23 eV per atom
Relative energy among the computed polymorphs ... 0.299 eV per atom